DFT (GGA-PBE) results for a geometry-optimized La2DyEr7 structure.

Unit cell a=6.1637 b=9.4299 c=9.4313 alpha=141.95 beta=109.07 gamma=77.45
Last column: nearest neighbours and their distance in Å.
Positions (direct):
La 0.5020 0.9002 0.6021  1 Dy 3.54, 10 Er 3.54-3.59, 1 La 3.59
La 0.4980 0.0998 0.3979  1 Dy 3.54, 10 Er 3.54-3.59, 1 La 3.59
Dy 0.0000 0.0000 0.0000  10 Er 3.54-3.57, 2 La 3.54
Er 0.9995 0.5970 0.3978  8 Er 3.54-3.58, 2 Dy 3.54-3.56, 2 La 3.56-3.57
Er 0.0005 0.4030 0.6022  8 Er 3.54-3.58, 2 Dy 3.54-3.56, 2 La 3.56-3.57
Er 0.5002 0.6993 0.7984  7 Er 3.53-3.57, 3 La 3.54-3.55, 2 Dy 3.55-3.56
Er 0.4998 0.3007 0.2016  7 Er 3.53-3.57, 3 La 3.54-3.55, 2 Dy 3.55-3.56
Er 0.9985 0.7980 0.1977  8 Er 3.53-3.58, 3 La 3.56-3.59, 1 Dy 3.57
Er 0.0015 0.2020 0.8023  8 Er 3.53-3.58, 3 La 3.56-3.59, 1 Dy 3.57
Er 0.5000 0.5000 0.0000  8 Er 3.55-3.57, 4 La 3.56-3.57

* VASP energy: -46.1 eV for the cell shown
* SG: P-1, No. 2
* crystal system: triclinic
* ρ: 8.398 g/cm³